A plane-wave DFT calculation with PBE with a Hubbard U was carried out for a relaxed V6O11F crystal.

The space group is C2 (No. 5) and the conventional cell measures 8.863, 6.503 and 7.075 Å, with angles of 90.00, 111.40 and 90.00 degrees. The asymmetric unit holds V at (0.000, 0.000, 0.000), V at (0.000, 0.028, 0.500), V at (0.167, 0.533, 0.672), V at (0.174, 0.534, 0.177), O at (0.000, 0.709, 0.000), O at (0.065, 0.518, 0.366), O at (0.093, 0.026, 0.282), O at (0.169, 0.818, 0.665), O at (0.173, 0.227, 0.667), O at (0.234, 0.015, 0.027) and F at (0.000, 0.322, 0.000).

For the calculated volume, the calculation gives 189.8 Å³/f.u. The calculation puts the total energy at -276.402 eV for the cell shown. Its distance to the lowest polymorph of the same formula is 0 meV per atom.